NiO2F after structural relaxation, computed with PBE with a Hubbard U.

Lattice parameters (Å, degrees): 4.704 4.909 5.337 114.97 99.17 95.02
Space group P1 (No. 1)
Inequivalent atoms, fractional coordinates:
Ni (0.000, 0.000, 0.000)
Ni (0.486, 0.678, 0.300)
O (0.127, 0.381, 0.730)
O (0.210, 0.378, 0.274)
O (0.244, 0.167, 0.767)
O (0.251, 0.678, 0.962)
F (0.702, 0.749, 0.661)
F (0.782, 0.923, 0.255)

Output
**Crystal system**: triclinic
**Fermi-level density of states**: 0.0 states/eV/cell
**Raw total energy**: -16.836 eV per formula unit
**Total moment**: 1.00 μB per formula unit